#i
This record from the Alexandria database describes crystalline BiOs2Cl at its relaxed geometry. The functional is PBE-GGA.

Unit cell a=6.5579 b=6.5579 c=6.5579 alpha=90.00 beta=90.00 gamma=90.00
Closest atoms and distances in Å follow each position.
Space group Fm-3m (No. 225)
Asymmetric unit:
1 Bi 0.0000 0.0000 0.0000 (multiplicity 4)  8 Os 2.84
2 Os 0.2500 0.2500 0.2500 (multiplicity 8)  4 Cl 2.84, 4 Bi 2.84
3 Cl 0.0000 0.0000 0.5000 (multiplicity 4)  8 Os 2.84

Properties
M_tot = 0.000 μB per atom

***

#ii
This record from the Alexandria database describes crystalline BiOs2Cl at its relaxed geometry. The functional is PBE-GGA.

Unit cell a=4.6643 b=4.6643 c=15.3123 alpha=90.00 beta=90.00 gamma=90.00
Closest atoms and distances in Å follow each position.
Space group I-42d (No. 122)
Asymmetric unit:
1 Bi 0.0000 0.0000 0.0000 (multiplicity 4)  4 Os 2.84
2 Os 0.1271 0.2500 0.6250 (multiplicity 8)  2 Cl 2.32
3 Cl 0.0000 0.0000 0.5000 (multiplicity 4)  4 Os 2.32

Properties
M_tot = 0.000 μB per atom

***

#ii ends up most stable, edging out the next structure by 38.0 kJ/mol of atoms.